This record from Alexandria via LeMat-Bulk describes a relaxed PrZn8Ir4 crystal. The functional is PBE.

The structure in CIF format:
```
data_PrZn8Ir4
_cell_length_a 5.616
_cell_length_b 6.749
_cell_length_c 6.749
_cell_angle_alpha 80.03
_cell_angle_beta 65.41
_cell_angle_gamma 65.41
_space_group_name_H-M_alt 'P 1'
_space_group_IT_number 1
loop_
_space_group_symop_operation_xyz
'x,y,z'
loop_
_atom_site_label
_atom_site_type_symbol
_atom_site_fract_x
_atom_site_fract_y
_atom_site_fract_z
Zn1 Zn 0.500 0.228 0.772
Zn2 Zn 0.000 0.659 0.341
Zn3 Zn 0.000 0.341 0.659
Zn4 Zn 0.500 0.772 0.228
Zn5 Zn 0.341 0.659 0.659
Zn6 Zn 0.728 0.772 0.772
Zn7 Zn 0.272 0.228 0.228
Zn8 Zn 0.659 0.341 0.341
Pr1 Pr 0.000 0.000 0.000
Ir1 Ir 0.500 0.000 0.500
Ir2 Ir 0.500 0.500 0.000
Ir3 Ir 0.000 0.500 0.000
Ir4 Ir 0.000 0.000 0.500
```

Properties
VASP energy	-4.1987	eV per atom
formation energy from the elements	-0.321	eV per atom
calculated volume	212	Å³/cell
symmetry	I4/mmm (139)
theoretical density	11.3	g cm⁻³